VASP calculation (PBE+U) on crystalline CsNiNF2 at its relaxed geometry.

It has space group P4/mmm (No. 123), with a = 5.1938 Å, b = 5.1938 Å, c = 4.4288 Å, α = 90.00°, β = 90.00° and γ = 90.00°. The distinct sites, in fractional coordinates, are Cs at (0.0000, 0.0000, 0.0000), Ni at (0.5000, 0.5000, 0.5000), N at (0.0000, 0.0000, 0.5000) and F at (0.0000, 0.5000, 0.0000).

As for the raw total energy: -2.477 eV per atom.